Below is a geometry-optimized CaZrZn17 structure, with properties calculated at the PBE-GGA level. Values from VASP.

Structure (Quantum ESPRESSO input):
```
&SYSTEM
  ibrav = 0, nat = 19, ntyp = 3
/
ATOMIC_SPECIES
Ca 40.08 Ca.upf
Zr 91.22 Zr.upf
Zn 65.41 Zn.upf
CELL_PARAMETERS angstrom
4.464 2.577 4.368
-4.464 2.577 4.368
0.000 -5.154 4.368
ATOMIC_POSITIONS angstrom
Ca 0.000 0.000 0.000
Zr 0.000 0.000 8.745
Zn -1.352 -2.305 4.399
Zn -2.673 -0.018 4.399
Zn -2.222 -1.283 6.804
Zn 0.000 0.000 3.144
Zn 0.000 -2.637 6.567
Zn -2.284 1.319 6.567
Zn 1.352 -2.305 4.399
Zn -1.320 2.324 4.399
Zn 0.000 0.000 5.770
Zn -2.072 -1.196 10.763
Zn 2.673 -0.018 4.399
Zn 1.320 2.324 4.399
Zn 2.222 -1.283 6.804
Zn 0.000 2.565 6.804
Zn 2.284 1.319 6.567
Zn 2.072 -1.196 10.763
Zn 0.000 2.393 10.763
```

Values from the calculation:
Its symmetry is R3m. As for the density of states at the Fermi level: 5.26 states/eV per cell. The value obtained for the formation energy is -0.15 eV/atom. The calculation puts the electronic total energy at -35.14 eV/f.u. The calculated volume comes out at 301.5 Å³ per cell. For the magnetic moment, the calculation gives 0.00 μB per formula unit.